Entry 1:
VASP calculation (PBE) on a geometry-optimized YAsPb structure.

Cell and atoms, written as POSCAR:
```
YAsPb
1.0
0.0000 3.5101 3.5101
3.5101 0.0000 3.5101
3.5101 3.5101 0.0000
Y As Pb
1 1 1
direct
0.0000 0.0000 0.0000
0.7500 0.7500 0.7500
0.5000 0.5000 0.5000
```

Total magnetic moment ... 0.00 μB/f.u.
Volume ... 86.50 Å³/cell
Space group ... F-43m
Energy above the most stable polymorph in this dataset ... 233 meV/atom
Energy of formation ... -0.412 eV/atom



Entry 2:
VASP calculation (PBE) on a geometry-optimized Ca4Pr2As3H2 structure.

Cell and atoms, written as POSCAR:
```
Ca4Pr2As3H2
1.0
-2.2809 2.2809 11.9651
2.2809 -2.2809 11.9651
2.2809 2.2809 -11.9651
Ca Pr As H
4 2 3 2
direct
0.0793 0.5793 0.5000
0.4207 0.9207 0.5000
0.5793 0.0793 0.5000
0.9207 0.4207 0.5000
0.2020 0.2020 0.0000
0.7980 0.7980 0.0000
0.3303 0.3303 0.0000
0.5000 0.5000 0.0000
0.6697 0.6697 0.0000
0.0980 0.0980 0.0000
0.9020 0.9020 0.0000
```

Raw total energy ... -48.43 eV/cell
Total magnetic moment ... 0.00 μB/f.u.
Volume ... 249.00 Å³/cell
Space group ... I4/mmm



Entry 3:
VASP calculation (PBE) on a geometry-optimized TbY2C2 structure.

Cell and atoms, written as POSCAR:
```
TbY2C2
1.0
5.7764 -2.5451 0.0000
5.7764 2.5451 0.0000
-2.4416 0.0000 6.9562
Tb Y C
2 4 4
direct
0.1556 0.1556 0.0966
0.8444 0.8444 0.9034
0.1622 0.1622 0.5670
0.4932 0.4932 0.2724
0.5068 0.5068 0.7276
0.8378 0.8378 0.4330
0.0024 0.0024 0.7643
0.3326 0.3326 0.4137
0.6674 0.6674 0.5863
0.9976 0.9976 0.2357
```

Total magnetic moment ... 0.81 μB/f.u.
Volume ... 204.53 Å³/cell
Space group ... C2/m
Energy of formation ... -0.207 eV/atom



Entry 4:
VASP calculation (PBE) on a geometry-optimized HfBe2Au2 structure.

Cell and atoms, written as POSCAR:
```
HfBe2Au2
1.0
7.3507 0.0000 0.0000
0.0000 7.3507 0.0000
0.0000 0.0000 2.7969
Hf Be Au
2 4 4
direct
0.0000 0.0000 0.0000
0.5000 0.5000 0.0000
0.1631 0.3369 0.5000
0.3369 0.8369 0.5000
0.6631 0.1631 0.5000
0.8369 0.6631 0.5000
0.1354 0.6354 0.0000
0.3646 0.1354 0.0000
0.6354 0.8646 0.0000
0.8646 0.3646 0.0000
```

Total magnetic moment ... 0.00 μB/f.u.
Volume ... 151.12 Å³/cell
Space group ... P4/mbm
Energy above the most stable polymorph in this dataset ... 131 meV/atom
Energy of formation ... -0.065 eV/atom



Entry 5:
VASP calculation (PBE) on a geometry-optimized TlRhBr3 structure.

Cell and atoms, written as POSCAR:
```
TlRhBr3
1.0
5.1689 0.0000 0.0000
0.0000 5.1689 0.0000
0.0000 0.0000 5.1689
Tl Rh Br
1 1 3
direct
0.0000 0.0000 0.0000
0.5000 0.5000 0.5000
0.0000 0.5000 0.5000
0.5000 0.0000 0.5000
0.5000 0.5000 0.0000
```

Raw formation energy ... -0.3820 eV/atom
Total magnetic moment ... 0.00 μB/f.u.
Volume ... 138.10 Å³/cell
Space group ... Pm-3m
Energy above the most stable polymorph in this dataset ... 0 meV/atom



Entry 6:
VASP calculation (PBE) on a geometry-optimized TiIrAu structure.

Cell and atoms, written as POSCAR:
```
TiIrAu
1.0
2.9340 0.0000 0.0000
0.0000 4.3481 0.0000
0.0000 0.0000 7.7962
Ti Ir Au
2 2 2
direct
0.2500 0.2500 0.1103
0.7500 0.7500 0.8897
0.2500 0.2500 0.8009
0.7500 0.7500 0.1991
0.2500 0.7500 0.5672
0.7500 0.2500 0.4328
```

Total magnetic moment ... 0.00 μB/f.u.
Volume ... 99.46 Å³/cell
Space group ... Pmmn
Energy above the most stable polymorph in this dataset ... 67 meV/atom
Energy of formation ... -0.465 eV/atom



Entry 7:
VASP calculation (PBE) on a geometry-optimized GdDyTmTl structure.

Cell and atoms, written as POSCAR:
```
GdDyTmTl
1.0
0.0000 3.8580 3.8580
3.8580 0.0000 3.8580
3.8580 3.8580 0.0000
Gd Dy Tm Tl
1 1 1 1
direct
0.0000 0.0000 0.0000
0.5000 0.5000 0.5000
0.7500 0.7500 0.7500
0.2500 0.2500 0.2500
```

Total magnetic moment ... 8.54 μB/f.u.
Volume ... 114.85 Å³/cell
Space group ... F-43m
Energy of formation ... -0.062 eV/atom



Entry 8:
VASP calculation (PBE) on a geometry-optimized Sr2ZnAs structure.

Cell and atoms, written as POSCAR:
```
Sr2ZnAs
1.0
4.4466 0.0000 0.0000
0.0000 2.2825 5.8543
0.0000 -2.2825 5.8543
Sr Zn As
2 1 1
direct
0.0000 0.0000 0.0000
0.5000 0.2746 0.2746
0.5000 0.5638 0.5638
0.0000 0.7124 0.7124
```

Total magnetic moment ... 0.00 μB/f.u.
Volume ... 118.83 Å³/cell
Space group ... Amm2
Energy above the most stable polymorph in this dataset ... 0 meV/atom
Energy of formation ... -0.708 eV/atom



Entry 9:
VASP calculation (PBE) on a geometry-optimized Pr2Y4Sb3N2 structure.

Cell and atoms, written as POSCAR:
```
Pr2Y4Sb3N2
1.0
-2.3418 2.3418 12.8197
2.3418 -2.3418 12.8197
2.3418 2.3418 -12.8197
Pr Y Sb N
2 4 3 2
direct
0.1935 0.1935 0.0000
0.8065 0.8065 0.0000
0.0821 0.5821 0.5000
0.4179 0.9179 0.5000
0.5821 0.0821 0.5000
0.9179 0.4179 0.5000
0.3245 0.3245 0.0000
0.5000 0.5000 0.0000
0.6755 0.6755 0.0000
0.0970 0.0970 0.0000
0.9030 0.9030 0.0000
```

Raw formation energy ... -1.2153 eV/atom
Total magnetic moment ... 0.00 μB/f.u.
Volume ... 281.21 Å³/cell
Space group ... I4/mmm



Entry 10:
VASP calculation (PBE) on a geometry-optimized Rb3Er3SbTe8 structure.

Cell and atoms, written as POSCAR:
```
Rb3Er3SbTe8
1.0
7.6677 -4.4156 0.0000
7.6677 4.4156 0.0000
-5.1231 0.0000 8.7636
Rb Er Sb Te
3 3 1 8
direct
0.0000 0.0000 0.0000
0.0000 0.5000 0.0000
0.5000 0.0000 0.0000
0.0000 0.5000 0.5000
0.5000 0.0000 0.5000
0.5000 0.5000 0.5000
0.0000 0.0000 0.5000
0.2317 0.2317 0.6949
0.2318 0.7316 0.6947
0.2672 0.2672 0.3018
0.2684 0.7682 0.3053
0.7316 0.2318 0.6947
0.7328 0.7328 0.6982
0.7682 0.2684 0.3053
0.7683 0.7683 0.3051
```

Raw formation energy ... -1.0853 eV/atom
Total magnetic moment ... 0.00 μB/f.u.
Volume ... 593.43 Å³/cell
Space group ... C2/m



Entry 11:
VASP calculation (PBE) on a geometry-optimized InAg3 structure.

Cell and atoms, written as POSCAR:
```
InAg3
1.0
1.5609 0.9012 9.2901
-1.5609 0.9012 9.2901
0.0000 -1.8024 9.2901
In Ag
1 3
direct
0.0000 0.0000 0.0000
0.2480 0.2480 0.2480
0.5000 0.5000 0.5000
0.7520 0.7520 0.7520
```

Total magnetic moment ... 0.00 μB/f.u.
Volume ... 78.41 Å³/cell
Space group ... R-3m
Energy of formation ... 0.097 eV/atom



Entry 12:
VASP calculation (PBE) on a geometry-optimized Tb3Si8Ru3 structure.

Cell and atoms, written as POSCAR:
```
Tb3Si8Ru3
1.0
7.5401 -2.0712 0.0000
7.5401 2.0712 0.0000
-4.1054 0.0000 7.4381
Tb Si Ru
3 8 3
direct
0.0000 0.0000 0.0000
0.2944 0.2944 0.3449
0.7056 0.7056 0.6551
0.1153 0.1153 0.3824
0.1420 0.1420 0.8417
0.3631 0.3631 0.7499
0.4836 0.4836 0.2965
0.5164 0.5164 0.7035
0.6369 0.6369 0.2501
0.8580 0.8580 0.1583
0.8847 0.8847 0.6176
0.0000 0.0000 0.5000
0.3255 0.3255 0.9942
0.6745 0.6745 0.0058
```

Raw formation energy ... -0.6676 eV/atom
Total magnetic moment ... 0.00 μB/f.u.
Volume ... 232.32 Å³/cell
Space group ... C2/m



- Which formula does entry 2 have?
  Ca4Pr2As3H2



- Among the records above, which one has the lowest volume?
  InAg3